Li2AlZn5Cu2 after structural relaxation. Source: the Alexandria database, functional PBE.

a = 4.0566 Å, b = 8.6128 Å, c = 8.6128 Å
α = 90.00°, β = 90.00°, γ = 90.00°
Positions (direct):
Li 0.0000 0.6782 0.1782
Li 0.0000 0.3218 0.8218
Li 0.0000 0.1782 0.3218
Li 0.0000 0.8218 0.6782
Al 0.0000 0.0000 0.0000
Al 0.0000 0.5000 0.5000
Zn 0.5000 0.2035 0.0788
Zn 0.5000 0.7965 0.9212
Zn 0.5000 0.0788 0.7965
Zn 0.5000 0.7035 0.4212
Zn 0.5000 0.9212 0.2035
Zn 0.5000 0.2965 0.5788
Zn 0.5000 0.5788 0.7035
Zn 0.5000 0.4212 0.2965
Zn 0.5000 0.5000 0.0000
Zn 0.5000 0.0000 0.5000
Cu 0.0000 0.1142 0.6142
Cu 0.0000 0.8858 0.3858
Cu 0.0000 0.6142 0.8858
Cu 0.0000 0.3858 0.1142

Values from the calculation:
D(E_F), states/eV per cell: 6.5
Calculated formation energy, eV/atom: -0.083
Final energy, Ry/atom: -0.16880